1.
PmBeO3 (PBE, optimized geometry); total energy = -71.353 eV per cell; magnetization = 1.000 μB/f.u.
1.0
2.540 1.467 4.162
-2.540 1.467 4.162
0.000 -2.933 4.162
Pm Be O
2 2 6
Direct
0.250 0.250 0.250
0.750 0.750 0.750
0.000 0.000 0.000
0.500 0.500 0.500
0.247 0.750 0.253
0.250 0.747 0.753
0.253 0.247 0.750
0.747 0.753 0.250
0.750 0.253 0.247
0.753 0.250 0.747



2.
CsNdHgTe3 (PBE, optimized geometry); total energy = -42.879 eV per cell; magnetization = 0.001 μB/f.u.
1.0
2.303 -8.603 0.000
2.303 8.603 0.000
0.000 0.000 12.026
Cs Nd Hg Te
2 2 2 6
Direct
0.249 0.751 0.750
0.751 0.249 0.250
0.000 0.000 0.000
0.000 0.000 0.500
0.462 0.538 0.250
0.538 0.462 0.750
0.068 0.932 0.250
0.375 0.625 0.050
0.375 0.625 0.450
0.625 0.375 0.550
0.625 0.375 0.950
0.932 0.068 0.750